1.
SnS8 after structural relaxation. Source: Alexandria via LeMat-Bulk, functional PBE.

The raw formation energy comes out at 59 meV per atom. The density of states at the Fermi level comes out at 0.67 states/eV/f.u. As for the size of the total moment: 0.00 μB/f.u.

The structure belongs to space group P-1 (No. 2); the cell edges are 5.5710, 5.8546 and 8.2365 Å and the angles 99.90°, 104.08° and 101.80°. The distinct sites, in fractional coordinates, are Sn at (0.0000, 0.0000, 0.0000), S at (0.1418, 0.1356, 0.4753), S at (0.2402, 0.7248, 0.8350), S at (0.2558, 0.9517, 0.2943) and S at (0.4738, 0.3055, 0.9679).

2.
K3NbIr after structural relaxation. Source: Alexandria via LeMat-Bulk, functional PBE.

The density of states at the Fermi level comes out at 19.10 states/eV/f.u. Its excess energy over the best structure of this formula in the dataset is 0.000 eV/atom. As for the size of the total moment: 5.13 μB/f.u.

The structure belongs to space group Pm-3m (No. 221); the cell edges are 6.0903, 6.0903 and 6.0903 Å and the angles 90.00°, 90.00° and 90.00°. The distinct sites, in fractional coordinates, are K at (0.0000, 0.0000, 0.5000), Nb at (0.5000, 0.5000, 0.5000) and Ir at (0.0000, 0.0000, 0.0000).

3.
Cd10Pt4Au after structural relaxation. Source: Alexandria via LeMat-Bulk, functional PBE.

The density of states at the Fermi level comes out at 3.41 states/eV/f.u. As for the size of the total moment: 0.00 μB/f.u.

The structure belongs to space group R-3m (No. 166, hexagonal axes); the cell edges are 4.5840, 4.5840 and 56.1963 Å and the angles 90.00°, 90.00° and 120.00°. The distinct sites, in fractional coordinates, are Cd at (0.0000, 0.0000, 0.0492), Cd at (0.0000, 0.0000, 0.1480), Cd at (0.0000, 0.0000, 0.2508), Cd at (0.0000, 0.0000, 0.3500), Cd at (0.0000, 0.0000, 0.4480), Pt at (0.0000, 0.0000, 0.0989), Pt at (0.0000, 0.0000, 0.3004) and Au at (0.0000, 0.0000, 0.5000).

4.
CoReAs2 after structural relaxation. Source: Alexandria via LeMat-Bulk, functional PBE.

The density of states at the Fermi level comes out at 3.49 states/eV/f.u. Its excess energy over the best structure of this formula in the dataset is 0.409 eV/atom. As for the size of the total moment: 1.39 μB/f.u.

The structure belongs to space group I-4m2 (No. 119); the cell edges are 3.6439, 3.6439 and 8.8048 Å and the angles 90.00°, 90.00° and 90.00°. The distinct sites, in fractional coordinates, are Co at (0.0000, 0.0000, 0.0000), Re at (0.0000, 0.5000, 0.7500), As at (0.0000, 0.0000, 0.5000) and As at (0.0000, 0.5000, 0.2500).

5.
EuTiPb2 after structural relaxation. Source: Alexandria via LeMat-Bulk, functional PBE.

The density of states at the Fermi level comes out at 3.65 states/eV/f.u. Its excess energy over the best structure of this formula in the dataset is 0.301 eV/atom. As for the size of the total moment: 7.12 μB/f.u.

The structure belongs to space group R-3m (No. 166, hexagonal axes); the cell edges are 3.4322, 3.4322 and 33.8024 Å and the angles 90.00°, 90.00° and 120.00°. The distinct sites, in fractional coordinates, are Eu at (0.0000, 0.0000, 0.0000), Ti at (0.0000, 0.0000, 0.5000) and Pb at (0.0000, 0.0000, 0.0973).

6.
Sr2Ge3PPd4 after structural relaxation. Source: Alexandria via LeMat-Bulk, functional PBE.

The density of states at the Fermi level comes out at 5.42 states/eV/f.u. As for the size of the total moment: 0.00 μB/f.u.

The structure belongs to space group P-4m2 (No. 115); the cell edges are 4.4400, 4.4400 and 10.1127 Å and the angles 90.00°, 90.00° and 90.00°. The distinct sites, in fractional coordinates, are Sr at (0.0000, 0.5000, 0.2419), Ge at (0.0000, 0.0000, 0.0000), Ge at (0.0000, 0.5000, 0.6241), P at (0.5000, 0.5000, 0.0000), Pd at (0.0000, 0.0000, 0.5000), Pd at (0.0000, 0.5000, 0.8791) and Pd at (0.5000, 0.5000, 0.5000).

7.
K3AuI after structural relaxation. Source: Alexandria via LeMat-Bulk, functional PBE.

The raw formation energy comes out at -534 meV per atom. The density of states at the Fermi level comes out at 8.56 states/eV/f.u. Its excess energy over the best structure of this formula in the dataset is 0.140 eV/atom. As for the size of the total moment: 0.00 μB/f.u.

The structure belongs to space group Pm-3m (No. 221); the cell edges are 6.3470, 6.3470 and 6.3470 Å and the angles 90.00°, 90.00° and 90.00°. The distinct sites, in fractional coordinates, are K at (0.0000, 0.0000, 0.5000), Au at (0.0000, 0.0000, 0.0000) and I at (0.5000, 0.5000, 0.5000).

8.
Nd6TmTl after structural relaxation. Source: Alexandria via LeMat-Bulk, functional PBE.

The density of states at the Fermi level comes out at 9.29 states/eV/f.u. As for the size of the total moment: 0.00 μB/f.u.

The structure belongs to space group P4/mmm (No. 123); the cell edges are 5.0306, 5.0306 and 10.3195 Å and the angles 90.00°, 90.00° and 90.00°. The distinct sites, in fractional coordinates, are Nd at (0.0000, 0.0000, 0.0000), Nd at (0.0000, 0.0000, 0.5000), Nd at (0.0000, 0.5000, 0.2455), Tm at (0.5000, 0.5000, 0.5000) and Tl at (0.5000, 0.5000, 0.0000).

9.
ReHgHO6 after structural relaxation. Source: Alexandria via LeMat-Bulk, functional PBE.

The density of states at the Fermi level comes out at 4.07 states/eV/f.u. As for the size of the total moment: 0.00 μB/f.u.

The structure belongs to space group P1 (No. 1); the cell edges are 4.8474, 4.9832 and 5.3158 Å and the angles 117.38°, 98.18° and 93.07°. The distinct sites, in fractional coordinates, are Re at (0.0000, 0.0000, 0.0000), Hg at (0.4700, 0.6715, 0.3800), H at (0.7260, 0.1976, 0.5027), O at (0.1669, 0.6908, 0.0712), O at (0.2022, 0.0363, 0.7704), O at (0.2478, 0.2778, 0.3541), O at (0.7452, 0.6451, 0.7232), O at (0.7599, 0.2608, 0.0264) and O at (0.7609, 0.9896, 0.3682).

10.
Hf3PdN after structural relaxation. Source: Alexandria via LeMat-Bulk, functional PBE.

The raw formation energy comes out at -998 meV per atom. The density of states at the Fermi level comes out at 2.38 states/eV/f.u. As for the size of the total moment: 0.00 μB/f.u.

The structure belongs to space group P2_1/m (No. 11); the cell edges are 6.3403, 3.2411 and 8.7377 Å and the angles 90.00°, 110.77° and 90.00°. The distinct sites, in fractional coordinates, are Hf at (0.0546, 0.2500, 0.3356), Hf at (0.2110, 0.7500, 0.0819), Hf at (0.4374, 0.7500, 0.6263), Pd at (0.3141, 0.2500, 0.8585) and N at (0.3111, 0.7500, 0.3568).

11.
Al2TlW after structural relaxation. Source: Alexandria via LeMat-Bulk, functional PBE.

The density of states at the Fermi level comes out at 2.06 states/eV/f.u. Its excess energy over the best structure of this formula in the dataset is 0.308 eV/atom. As for the size of the total moment: 0.00 μB/f.u.

The structure belongs to space group Pmmm (No. 47); the cell edges are 2.9288, 4.9594 and 5.0338 Å and the angles 90.00°, 90.00° and 90.00°. The distinct sites, in fractional coordinates, are Al at (0.0000, 0.0000, 0.0000), Al at (0.5000, 0.0000, 0.5000), Tl at (0.0000, 0.5000, 0.5000) and W at (0.5000, 0.5000, 0.0000).

12.
Ca2NbS after structural relaxation. Source: Alexandria via LeMat-Bulk, functional PBE.

The raw formation energy comes out at -141 meV per atom. The density of states at the Fermi level comes out at 3.90 states/eV/f.u. As for the size of the total moment: 2.28 μB/f.u.

The structure belongs to space group I-42d (No. 122); the cell edges are 10.0106, 10.0106 and 4.7430 Å and the angles 90.00°, 90.00° and 90.00°. The distinct sites, in fractional coordinates, are Ca at (0.1075, 0.2500, 0.1250), Nb at (0.0000, 0.0000, 0.5000) and S at (0.0000, 0.0000, 0.0000).

Values of total energy, in order: -36.49; -13.70; -120.21; -53.81; -74.80; -50.44; -10.79; -36.14; -52.35; -96.74; -20.43; -75.06, all in eV per cell.